Entry 1:
Density functional theory data (PBE-GGA) for a geometry-optimized Rb2Cr3H10 structure.

```
Rb2Cr3H10
1.0
-1.2605 -4.9383 2.9300
5.8088 -3.3637 -3.1703
2.5318 6.4739 6.1026
Rb Cr H
4 6 20
Direct
0.7102 0.3155 0.4204
0.2898 0.6845 0.5796
0.6119 0.7084 0.2238
0.3881 0.2916 0.7762
0.9304 0.5469 0.8607
0.0696 0.4531 0.1393
0.8258 0.0116 0.6516
0.1742 0.9884 0.3484
0.7544 0.0000 0.0000
0.2456 0.0000 0.0000
0.6786 0.9983 0.7927
0.1141 0.9983 0.7927
0.3214 0.0017 0.2073
0.8859 0.0017 0.2073
0.6645 0.5529 0.7303
0.0658 0.5529 0.7303
0.3355 0.4471 0.2697
0.9342 0.4471 0.2697
0.9743 0.8218 0.9486
0.0257 0.1782 0.0514
0.8706 0.2880 0.7412
0.1294 0.7120 0.2588
0.7784 0.7661 0.5568
0.2216 0.2339 0.4432
0.4762 0.8461 0.9524
0.5238 0.1539 0.0476
0.8080 0.5000 0.0000
0.1920 0.5000 0.0000
0.5000 0.0000 0.5000
0.0000 0.0000 0.5000
```

- raw total energy (hartree per atom) = -0.1552
- D(E_F) (states/eV per atom) = 0.05
- symmetry = C2/m (12)

***

Entry 2:
Density functional theory data (PBE-GGA) for a geometry-optimized BaTaGe3 structure.

```
BaTaGe3
1.0
-1.3831 4.8219 -0.8654
-3.1599 -1.5652 -3.6712
-3.7436 -0.4603 3.4185
Ge Ba Ta
3 1 1
Direct
0.0000 0.5000 0.0000
0.0000 0.0000 0.5000
0.5000 0.0000 0.0000
0.5000 0.5000 0.5000
0.0000 0.0000 0.0000
```

- offset from the most stable computed form (meV/atom) = 0
- D(E_F) (states/eV per atom) = 0.70
- formation energy from the elements (meV per atom) = -233
- symmetry = Pm-3m (221)

***

Entry 3:
Density functional theory data (PBE-GGA) for a geometry-optimized Nd13Tm2 structure.

```
Nd13Tm2
1.0
6.2544 0.0000 3.5929
2.0952 5.8930 3.5929
-2.7521 -1.9424 12.0308
Nd Tm
13 2
Direct
0.5000 0.5000 0.5000
0.7057 0.2113 0.8717
0.2113 0.2113 0.8717
0.2113 0.7057 0.8717
0.7887 0.2943 0.1283
0.2943 0.7887 0.1283
0.7887 0.7887 0.1283
0.5425 0.0468 0.3640
0.0468 0.0468 0.3640
0.0468 0.5425 0.3640
0.9532 0.4575 0.6360
0.4575 0.9532 0.6360
0.9532 0.9532 0.6360
0.2937 0.2937 0.1189
0.7063 0.7063 0.8811
```

- offset from the most stable computed form (meV/atom) = 82
- D(E_F) (states/eV per atom) = 1.43
- formation energy from the elements (meV per atom) = 139
- symmetry = R-3m (166)

***

Entry 4:
Density functional theory data (PBE-GGA) for a geometry-optimized Ti2Te2S structure.

```
Ti2Te2S
1.0
-5.7127 0.8107 -4.6099
3.3030 -4.4555 -4.8767
-1.6786 -2.9529 1.5609
S Te Ti
2 4 4
Direct
0.0000 0.0000 0.0000
0.5000 0.5000 0.0000
0.1489 0.6489 0.5000
0.6489 0.8511 0.5000
0.8511 0.3511 0.5000
0.3511 0.1489 0.5000
0.3572 0.8572 0.0000
0.8572 0.6428 0.0000
0.6428 0.1428 0.0000
0.1428 0.3572 0.0000
```

- D(E_F) (states/eV per atom) = 0.96
- symmetry = P4/mbm (127)
- formation energy without anion corrections (meV per atom) = -538

***

Entry 5:
Density functional theory data (PBE-GGA) for a geometry-optimized NaB3As structure.

```
NaB3As
1.0
-4.0525 -1.2317 0.2505
0.9029 -3.4410 -2.3122
0.8744 -2.1551 3.5487
Na As B
1 1 3
Direct
0.5000 0.5000 0.5000
0.0000 0.0000 0.0000
0.0000 0.5000 0.0000
0.0000 0.0000 0.5000
0.5000 0.0000 0.0000
```

- offset from the most stable computed form (meV/atom) = 0
- D(E_F) (states/eV per atom) = 0.44
- formation energy from the elements (meV per atom) = 1708
- symmetry = Pm-3m (221)

***

Entry 6:
Density functional theory data (PBE-GGA) for a geometry-optimized PrZrAu2 structure.

```
PrZrAu2
1.0
-0.9645 -2.1145 3.1342
-0.0801 -3.8946 -0.2234
7.1045 -2.2773 3.0788
Pr Au Zr
1 2 1
Direct
0.5000 0.5000 0.5000
0.2598 0.2598 0.2207
0.7402 0.7402 0.7793
0.0000 0.0000 0.0000
```

- offset from the most stable computed form (meV/atom) = 175
- D(E_F) (states/eV per atom) = 0.76
- formation energy from the elements (meV per atom) = -399
- symmetry = R-3m (166)